Arrangement P

## Na3Ag2O4 (GGA-PBE)

Data for a relaxed structure of Na3Ag2O4.

Output
**N(E_F)**: 5.7 states/eV per cell

Cell: 6.0406 6.0406 7.7689 Å, 116.38 116.38 31.45°
Positions (direct):
1 Na 0.0000 0.0000 0.0000
2 Na 0.3262 0.3262 0.1935
3 Na 0.6738 0.6738 0.8065
4 Ag 0.3581 0.3581 0.6357
5 Ag 0.6419 0.6419 0.3643
6 O 0.0124 0.0124 0.4176
7 O 0.3315 0.3315 0.8862
8 O 0.6685 0.6685 0.1138
9 O 0.9876 0.9876 0.5824

Arrangement Q

## Na3Ag2O4 (GGA-PBE)

Data for a relaxed structure of Na3Ag2O4.

Output
**N(E_F)**: 4.1 states/eV per cell

Cell: 5.8538 5.8538 8.1888 Å, 114.15 114.15 31.51°
Positions (direct):
1 Na 0.0000 0.0000 0.0000
2 Na 0.3760 0.3760 0.6111
3 Na 0.6240 0.6240 0.3889
4 Ag 0.1761 0.1761 0.7807
5 Ag 0.8239 0.8239 0.2193
6 O 0.2352 0.2352 0.2995
7 O 0.4217 0.4217 0.1580
8 O 0.5783 0.5783 0.8420
9 O 0.7648 0.7648 0.7005

Which is most stable? The ranking, best first, is arrangement Q, arrangement P.

Arrangement P

## NaAgP2O (GGA-PBE)

Data for a relaxed structure of NaAgP2O.

Output
**N(E_F)**: 3.6 states/eV per cell

Cell: 4.9582 4.9582 3.9640 Å, 90.00 90.00 90.00°
Positions (direct):
1 Na 0.0000 0.0000 0.0000
2 Ag 0.5000 0.5000 0.5000
3 P 0.0000 0.5000 0.0000
4 P 0.5000 0.0000 0.0000
5 O 0.0000 0.0000 0.5000

Arrangement Q

## NaAgP2O (GGA-PBE)

Data for a relaxed structure of NaAgP2O.

Output
**N(E_F)**: 4.4 states/eV per cell

Cell: 4.9136 4.9136 4.1937 Å, 90.00 90.00 90.00°
Positions (direct):
1 Na 0.0000 0.0000 0.0000
2 Ag 0.5000 0.5000 0.5000
3 P 0.0000 0.5000 0.5000
4 P 0.5000 0.0000 0.5000
5 O 0.5000 0.5000 0.0000

Which is most stable? The ranking, best first, is arrangement Q, arrangement P.

Arrangement P

## NaAg2Os (GGA-PBE)

Data for a relaxed structure of NaAg2Os.

Output
**N(E_F)**: 5.0 states/eV per cell

Cell: 4.6551 4.6551 4.6551 Å, 60.00 60.00 60.00°
Positions (direct):
1 Na 0.0000 0.0000 0.0000
2 Ag 0.2500 0.2500 0.2500
3 Ag 0.7500 0.7500 0.7500
4 Os 0.5000 0.5000 0.5000

Arrangement Q

## NaAg2Os (GGA-PBE)

Data for a relaxed structure of NaAg2Os.

Output
**N(E_F)**: 14.0 states/eV per cell

Cell: 9.8959 9.8959 9.8959 Å, 156.10 156.10 34.05°
Positions (direct):
1 Na 0.0000 0.0000 0.0000
2 Na 0.7500 0.2500 0.5000
3 Ag 0.1382 0.6250 0.0132
4 Ag 0.3750 0.3882 0.5132
5 Ag 0.6118 0.1250 0.9868
6 Ag 0.8750 0.8618 0.4868
7 Os 0.2500 0.7500 0.5000
8 Os 0.5000 0.5000 0.0000

Which is most stable? The ranking, best first, is arrangement P, arrangement Q.

Arrangement P

## Na2AgOs (GGA-PBE)

Data for a relaxed structure of Na2AgOs.

Output
**N(E_F)**: 8.0 states/eV per cell

Cell: 4.8366 4.8366 4.8366 Å, 60.00 60.00 60.00°
Positions (direct):
1 Na 0.2500 0.2500 0.2500
2 Na 0.7500 0.7500 0.7500
3 Ag 0.0000 0.0000 0.0000
4 Os 0.5000 0.5000 0.5000

Arrangement Q

## Na2AgOs (GGA-PBE)

Data for a relaxed structure of Na2AgOs.

Output
**N(E_F)**: 7.1 states/eV per cell

Cell: 6.2743 6.2743 6.2743 Å, 100.86 100.86 128.55°
Positions (direct):
1 Na 0.1146 0.1250 0.4896
2 Na 0.3750 0.8854 0.0104
3 Na 0.6354 0.6250 0.5104
4 Na 0.8750 0.3646 0.9896
5 Ag 0.0000 0.0000 0.0000
6 Ag 0.7500 0.2500 0.5000
7 Os 0.2500 0.7500 0.5000
8 Os 0.5000 0.5000 0.0000

Which is most stable? The ranking, best first, is arrangement P, arrangement Q.

Arrangement P

## NaAg2P2 (GGA-PBE)

Data for a relaxed structure of NaAg2P2.

Output
**N(E_F)**: 2.0 states/eV per cell

Cell: 5.9566 5.9566 5.9566 Å, 137.34 137.34 61.92°
Positions (direct):
1 Na 0.0000 0.0000 0.0000
2 Ag 0.2500 0.7500 0.5000
3 Ag 0.7500 0.2500 0.5000
4 P 0.3941 0.3941 0.0000
5 P 0.6059 0.6059 0.0000

Arrangement Q

## NaAg2P2 (GGA-PBE)

Data for a relaxed structure of NaAg2P2.

Output
**N(E_F)**: 2.3 states/eV per cell

Cell: 5.7756 5.7756 5.7756 Å, 131.32 131.32 71.30°
Positions (direct):
1 Na 0.0000 0.0000 0.0000
2 Ag 0.3435 0.3435 0.0000
3 Ag 0.6565 0.6565 0.0000
4 P 0.2500 0.7500 0.5000
5 P 0.7500 0.2500 0.5000

Which is most stable? The ranking, best first, is arrangement P, arrangement Q.

Arrangement P

## NaAgP2S (GGA-PBE)

Data for a relaxed structure of NaAgP2S.

Output
**N(E_F)**: 3.6 states/eV per cell

Cell: 4.8731 4.8731 4.8692 Å, 90.00 90.00 90.00°
Positions (direct):
1 Na 0.0000 0.0000 0.0000
2 Ag 0.5000 0.5000 0.5000
3 P 0.0000 0.5000 0.0000
4 P 0.5000 0.0000 0.0000
5 S 0.0000 0.0000 0.5000

Arrangement Q

## NaAgP2S (GGA-PBE)

Data for a relaxed structure of NaAgP2S.

Output
**N(E_F)**: 3.2 states/eV per cell

Cell: 4.8337 4.8337 5.1457 Å, 90.00 90.00 90.00°
Positions (direct):
1 Na 0.0000 0.0000 0.0000
2 Ag 0.5000 0.5000 0.5000
3 P 0.0000 0.5000 0.5000
4 P 0.5000 0.0000 0.5000
5 S 0.5000 0.5000 0.0000

Which is most stable? The ranking, best first, is arrangement Q, arrangement P.

Arrangement P

## Na2Ag2Pb (GGA-PBE)

Data for a relaxed structure of Na2Ag2Pb.

Output
**N(E_F)**: 3.6 states/eV per cell

Cell: 5.9996 5.9996 8.5000 Å, 102.18 102.18 58.66°
Positions (direct):
1 Na 0.0103 0.3069 0.1527
2 Na 0.3069 0.0103 0.6527
3 Na 0.6931 0.9897 0.3473
4 Na 0.9897 0.6931 0.8473
5 Ag 0.2292 0.5118 0.5155
6 Ag 0.4882 0.7708 0.9845
7 Ag 0.5118 0.2292 0.0155
8 Ag 0.7708 0.4882 0.4845
9 Pb 0.3068 0.6932 0.2500
10 Pb 0.6932 0.3068 0.7500

Arrangement Q

## Na2Ag2Pb (GGA-PBE)

Data for a relaxed structure of Na2Ag2Pb.

Output
**N(E_F)**: 2.2 states/eV per cell

Cell: 7.5557 7.5557 7.5557 Å, 146.84 146.84 47.60°
Positions (direct):
1 Na 0.2500 0.7500 0.5000
2 Na 0.7500 0.2500 0.5000
3 Ag 0.0977 0.0977 0.0000
4 Ag 0.9023 0.9023 0.0000
5 Pb 0.5000 0.5000 0.0000

Arrangement R

## Na2Ag2Pb (GGA-PBE)

Data for a relaxed structure of Na2Ag2Pb.

Output
**N(E_F)**: 3.1 states/eV per cell

Cell: 8.6204 8.6204 3.2468 Å, 90.00 90.00 90.00°
Positions (direct):
1 Na 0.1314 0.3686 0.0000
2 Na 0.3686 0.8686 0.0000
3 Na 0.6314 0.1314 0.0000
4 Na 0.8686 0.6314 0.0000
5 Ag 0.1664 0.6664 0.5000
6 Ag 0.3336 0.1664 0.5000
7 Ag 0.6664 0.8336 0.5000
8 Ag 0.8336 0.3336 0.5000
9 Pb 0.0000 0.0000 0.0000
10 Pb 0.5000 0.5000 0.0000

Which is most stable? The ranking, best first, is arrangement P, arrangement R, arrangement Q.

Arrangement P

## Na2Ag2Pb (GGA-PBE)

Data for a relaxed structure of Na2Ag2Pb.

Output
**N(E_F)**: 3.1 states/eV per cell

Cell: 5.6602 5.6602 7.7032 Å, 94.65 94.65 97.95°
Positions (direct):
1 Na 0.1189 0.2672 0.0109
2 Na 0.2672 0.1189 0.5109
3 Na 0.7328 0.8811 0.4891
4 Na 0.8811 0.7328 0.9891
5 Ag 0.1516 0.5815 0.3667
6 Ag 0.4185 0.8484 0.1333
7 Ag 0.5815 0.1516 0.8667
8 Ag 0.8484 0.4185 0.6333
9 Pb 0.3720 0.6280 0.7500
10 Pb 0.6280 0.3720 0.2500

Arrangement Q

## Na2Ag2Pb (GGA-PBE)

Data for a relaxed structure of Na2Ag2Pb.

Output
**N(E_F)**: 3.7 states/eV per cell

Cell: 7.7971 7.7971 4.0577 Å, 90.00 90.00 90.00°
Positions (direct):
1 Na 0.1690 0.3310 0.0000
2 Na 0.3310 0.8310 0.0000
3 Na 0.6690 0.1690 0.0000
4 Na 0.8310 0.6690 0.0000
5 Ag 0.1295 0.6295 0.5000
6 Ag 0.3705 0.1295 0.5000
7 Ag 0.6295 0.8705 0.5000
8 Ag 0.8705 0.3705 0.5000
9 Pb 0.0000 0.0000 0.5000
10 Pb 0.5000 0.5000 0.5000

Arrangement R

## Na2Ag2Pb (GGA-PBE)

Data for a relaxed structure of Na2Ag2Pb.

Output
**N(E_F)**: 2.6 states/eV per cell

Cell: 9.6260 9.6260 9.6260 Å, 157.09 157.09 32.63°
Positions (direct):
1 Na 0.1128 0.1128 0.0000
2 Na 0.8872 0.8872 0.0000
3 Ag 0.2500 0.7500 0.5000
4 Ag 0.7500 0.2500 0.5000
5 Pb 0.5000 0.5000 0.0000

Which is most stable? The ranking, best first, is arrangement P, arrangement Q, arrangement R.